Density functional theory data (GGA-PBE) for a geometry-optimized Cs2Bi5Au3 structure.

Structure (POSCAR):
```
Cs2Bi5Au3
1.0
-5.942 7.434 3.766
5.942 -7.434 3.766
5.942 7.434 -3.766
Cs Bi Au
4 10 6
direct
0.128 0.248 0.376
0.372 0.748 0.120
0.628 0.252 0.880
0.872 0.752 0.624
0.000 0.250 0.750
0.000 0.750 0.250
0.109 0.864 0.974
0.250 0.750 0.500
0.391 0.364 0.755
0.500 0.250 0.250
0.500 0.750 0.750
0.609 0.636 0.245
0.750 0.250 0.500
0.891 0.136 0.026
0.124 0.613 0.737
0.250 0.250 0.000
0.376 0.113 0.488
0.624 0.887 0.512
0.750 0.750 0.000
0.876 0.387 0.263
```

Results
SG = Ibam
Energy relative to the elements = -0.203 eV/atom
Total moment = 0.000 μB per cell

Density functional theory data (GGA-PBE) for a geometry-optimized Li5InHg6 structure.

Structure (POSCAR):
```
Li5InHg6
1.0
7.570 -3.406 0.000
7.570 3.406 0.000
-1.504 0.000 4.590
Li In Hg
5 1 6
direct
0.000 0.000 0.000
0.168 0.168 0.670
0.341 0.341 0.341
0.659 0.659 0.659
0.832 0.832 0.330
0.500 0.500 0.000
0.060 0.587 0.822
0.227 0.773 0.500
0.413 0.940 0.178
0.587 0.060 0.822
0.773 0.227 0.500
0.940 0.413 0.178
```

Results
SG = C2/m
Energy relative to the elements = -0.317 eV/atom
Total moment = 0.000 μB per cell

Density functional theory data (GGA-PBE) for a geometry-optimized Hf2CuAg2S6 structure.

Structure (POSCAR):
```
Hf2CuAg2S6
1.0
3.155 -5.445 0.000
3.155 5.445 0.000
-0.153 0.000 6.468
Hf Cu Ag S
2 1 2 6
direct
0.168 0.832 0.000
0.832 0.168 0.000
0.500 0.500 0.000
0.165 0.835 0.500
0.835 0.165 0.500
0.169 0.169 0.779
0.176 0.504 0.223
0.496 0.824 0.777
0.504 0.176 0.223
0.824 0.496 0.777
0.831 0.831 0.221
```

Results
Formation energy (no corrections) = -0.813 eV per atom
SG = C2/m
Total moment = 0.000 μB per cell

E_tot per entry: -0.12119; -0.05487; -0.21185 hartree per atom